{"formula": "EuFeO3", "functional": "GGA+U", "state": "optimized geometry", "lattice_angstrom": [[5.4866, 0.0000, 0.0000], [0.0000, 5.5964, 0.0000], [0.0000, 0.0000, 7.7906]], "species": ["Eu", "Eu", "Eu", "Eu", "Fe", "Fe", "Fe", "Fe", "O", "O", "O", "O", "O", "O", "O", "O", "O", "O", "O", "O"], "frac_coords": [[0.9917, 0.0465, 0.2500], [0.4917, 0.4535, 0.7500], [0.5083, 0.5465, 0.2500], [0.0083, 0.9535, 0.7500], [0.0000, 0.5000, 0.0000], [0.5000, 0.0000, 0.0000], [0.5000, 0.0000, 0.5000], [0.0000, 0.5000, 0.5000], [0.0808, 0.4778, 0.2500], [0.5808, 0.0222, 0.7500], [0.4192, 0.9778, 0.2500], [0.9192, 0.5222, 0.7500], [0.7052, 0.2953, 0.0423], [0.2052, 0.2047, 0.9577], [0.7948, 0.7953, 0.4577], [0.2948, 0.7047, 0.5423], [0.2948, 0.7047, 0.9577], [0.7948, 0.7953, 0.0423], [0.2052, 0.2047, 0.5423], [0.7052, 0.2953, 0.4577]], "total_energy_ha_per_atom": -0.304, "rho_g_cm3": 7.10, "magmom_total_mub_per_cell": 6.3}